No. 1
Density functional theory data (GGA-PBE) for a relaxed Sr2PbAu crystal.

a b c (Å): 8.7658 8.7658 7.2246
angles (deg): 52.65 52.65 90.00
Positions (direct):
Pb1 0.0000 0.0000 0.0000
Pb2 0.7500 0.2500 0.5000
Sr1 0.5944 0.1250 0.2500
Sr2 0.1556 0.6250 0.2500
Sr3 0.3750 0.4056 0.7500
Sr4 0.8750 0.8444 0.7500
Au1 0.5000 0.5000 0.0000
Au2 0.2500 0.7500 0.5000

Properties
- Energy: -2.95 eV per atom

No. 2
Density functional theory data (GGA-PBE) for a relaxed Sr3Pb4Au4 crystal.

a b c (Å): 4.0734 4.9689 15.8950
angles (deg): 81.21 82.46 90.02
Positions (direct):
Sr1 0.1440 0.6393 0.7165
Sr2 0.8560 0.3607 0.2835
Sr3 0.0000 0.0000 0.0000
Pb1 0.5918 0.0905 0.8155
Pb2 0.2589 0.2590 0.4829
Pb3 0.7411 0.7410 0.5171
Pb4 0.4082 0.9096 0.1845
Au1 0.5452 0.5438 0.9104
Au2 0.4548 0.4562 0.0896
Au3 0.3094 0.8179 0.3666
Au4 0.6906 0.1821 0.6334

Properties
- Energy: -3.49 eV per atom

No. 3
Density functional theory data (GGA-PBE) for a relaxed Sr4Pb3Au crystal.

a b c (Å): 3.8115 3.8115 18.1165
angles (deg): 90.00 90.00 90.00
Positions (direct):
Pb1 0.5000 0.5000 0.2359
Pb2 0.5000 0.5000 0.5000
Pb3 0.5000 0.5000 0.7641
Sr1 0.0000 0.0000 0.8926
Sr2 0.0000 0.0000 0.1074
Sr3 0.0000 0.0000 0.3669
Sr4 0.0000 0.0000 0.6331
Au1 0.5000 0.5000 0.0000

Properties
- Energy: -3.22 eV per atom

No. 4
Density functional theory data (GGA-PBE) for a relaxed Sr5Pb5Au2 crystal.

a b c (Å): 5.0629 9.0613 9.2982
angles (deg): 74.86 74.20 73.78
Positions (direct):
Sr1 0.5000 0.5000 0.5000
Sr2 0.3692 0.3293 0.9324
Sr3 0.3293 0.0079 0.3335
Sr4 0.6707 0.9921 0.6665
Sr5 0.6308 0.6707 0.0676
Pb1 0.9590 0.7468 0.3351
Pb2 0.2481 0.7425 0.7613
Pb3 0.7519 0.2575 0.2387
Pb4 0.0410 0.2532 0.6649
Pb5 0.0000 0.0000 0.0000
Au1 0.8466 0.5701 0.7366
Au2 0.1534 0.4299 0.2634

Properties
- Energy: -3.33 eV per atom

No. 5
Density functional theory data (GGA-PBE) for a relaxed SrPbAu crystal.

a b c (Å): 5.0433 5.5428 6.7465
angles (deg): 90.00 111.98 90.00
Positions (direct):
Sr1 0.8872 0.2500 0.7729
Sr2 0.1128 0.7500 0.2271
Pb1 0.5980 0.2500 0.1957
Pb2 0.4020 0.7500 0.8043
Au1 0.2240 0.2500 0.4473
Au2 0.7760 0.7500 0.5527

Properties
- Energy: -3.39 eV per atom

No. 6
Density functional theory data (GGA-PBE) for a relaxed SrPb3Au3 crystal.

a b c (Å): 4.9272 9.2554 9.5746
angles (deg): 119.66 90.00 90.00
Positions (direct):
Sr1 0.7500 0.3386 0.6709
Sr2 0.2500 0.6614 0.3291
Pb1 0.7500 0.7777 0.0376
Pb2 0.7500 0.2641 0.2299
Pb3 0.7500 0.9606 0.7229
Pb4 0.2500 0.2223 0.9624
Pb5 0.2500 0.7359 0.7701
Pb6 0.2500 0.0394 0.2771
Au1 0.7500 0.9321 0.3989
Au2 0.7500 0.4620 0.0585
Au3 0.7500 0.5951 0.5277
Au4 0.2500 0.0679 0.6011
Au5 0.2500 0.5380 0.9415
Au6 0.2500 0.4049 0.4723

Properties
- Energy: -3.57 eV per atom
- ΔE to the lowest computed polymorph: 0 meV/atom

No. 7
Density functional theory data (GGA-PBE) for a relaxed Sr3PbAu crystal.

a b c (Å): 4.3521 9.8486 9.8516
angles (deg): 68.84 90.00 90.00
Positions (direct):
Sr1 0.8638 0.3884 0.8190
Sr2 0.8639 0.9999 0.6738
Sr3 0.8625 0.6212 0.0524
Sr4 0.3634 0.0276 0.0798
Sr5 0.8625 0.7671 0.4405
Sr6 0.3633 0.3608 0.4132
Pb1 0.3632 0.6941 0.7464
Pb2 0.8634 0.1941 0.2465
Au1 0.3624 0.6942 0.2464
Au2 0.3639 0.1941 0.7465

Properties
- Energy: -2.91 eV per atom
- ΔE to the lowest computed polymorph: 0 meV/atom

No. 8
Density functional theory data (GGA-PBE) for a relaxed Sr2PbAu6 crystal.

a b c (Å): 3.8307 8.2761 8.2761
angles (deg): 120.00 90.00 90.00
Positions (direct):
Sr1 0.0000 0.3333 0.6667
Sr2 0.0000 0.6667 0.3333
Pb1 0.0000 0.0000 0.0000
Au1 0.5000 0.3343 0.3343
Au2 0.5000 0.6657 0.6657
Au3 0.5000 0.0000 0.6657
Au4 0.5000 0.6657 0.0000
Au5 0.5000 0.3343 0.0000
Au6 0.5000 0.0000 0.3343

Properties
- Energy: -3.46 eV per atom

No. 9
Density functional theory data (GGA-PBE) for a relaxed Sr3Pb2Au2 crystal.

a b c (Å): 4.7554 6.5166 8.2386
angles (deg): 107.04 90.00 111.40
Positions (direct):
Sr1 0.3248 0.6496 0.3410
Sr2 0.6752 0.3504 0.6590
Sr3 0.5000 0.0000 0.0000
Pb1 0.9560 0.9120 0.6579
Pb2 0.0440 0.0880 0.3421
Au1 0.8152 0.6304 0.0666
Au2 0.1848 0.3696 0.9334

Properties
- Energy: -3.34 eV per atom

No. 10
Density functional theory data (GGA-PBE) for a relaxed Sr2Pb12Au7 crystal.

a b c (Å): 4.5735 12.2205 12.2205
angles (deg): 120.00 90.00 90.00
Positions (direct):
Sr1 0.2456 0.3333 0.6667
Sr2 0.7544 0.6667 0.3333
Pb1 0.2438 0.6217 0.0544
Pb2 0.2438 0.4328 0.3783
Pb3 0.2438 0.9456 0.5672
Pb4 0.7562 0.3783 0.9456
Pb5 0.7562 0.5672 0.6217
Pb6 0.7562 0.0544 0.4328
Pb7 0.2497 0.1094 0.2593
Pb8 0.2497 0.1500 0.8906
Pb9 0.2497 0.7407 0.8500
Pb10 0.7503 0.8906 0.7407
Pb11 0.7503 0.8500 0.1094
Pb12 0.7503 0.2593 0.1500
Au1 0.5000 0.0000 0.0000
Au2 0.2720 0.8612 0.2960
Au3 0.2720 0.4348 0.1388
Au4 0.2720 0.7040 0.5652
Au5 0.7280 0.1388 0.7040
Au6 0.7280 0.5652 0.8612
Au7 0.7280 0.2960 0.4348

Properties
- Energy: -3.60 eV per atom

No. 11
Density functional theory data (GGA-PBE) for a relaxed Sr4PbAu3 crystal.

a b c (Å): 5.5652 5.5654 8.7016
angles (deg): 108.70 108.65 90.00
Positions (direct):
Pb1 0.5000 0.0000 0.0000
Sr1 0.3726 0.3727 0.7453
Sr2 0.6274 0.6273 0.2547
Sr3 0.1274 0.1273 0.2548
Sr4 0.8726 0.8727 0.7452
Au1 0.0000 0.5000 0.0000
Au2 0.7490 0.2487 0.4981
Au3 0.2510 0.7513 0.5019

Properties
- Energy: -3.20 eV per atom

No. 12
Density functional theory data (GGA-PBE) for a relaxed Sr4Pb5Au2 crystal.

a b c (Å): 3.7941 8.4628 10.8458
angles (deg): 95.80 90.00 90.00
Positions (direct):
Sr1 0.5000 0.7571 0.5555
Sr2 0.5000 0.1764 0.8618
Sr3 0.5000 0.2429 0.4445
Sr4 0.5000 0.8236 0.1382
Pb1 0.0000 0.5425 0.3082
Pb2 0.0000 0.1836 0.1558
Pb3 0.0000 0.5000 0.0000
Pb4 0.0000 0.8164 0.8442
Pb5 0.0000 0.4575 0.6918
Au1 0.0000 0.0619 0.6308
Au2 0.0000 0.9381 0.3692

Properties
- Energy: -3.39 eV per atom

| no. | total magnetic moment (μB/f.u.) | calculated formation energy (eV/atom) |
| --- | --- | --- |
| 1 | 0.000 | -0.36 |
| 2 | 0.000 | -0.49 |
| 3 | 0.000 | -0.58 |
| 4 | 0.000 | -0.53 |
| 5 | 0.000 | -0.50 |
| 6 | 0.000 | -0.34 |
| 7 | 0.000 | -0.50 |
| 8 | 0.000 | -0.49 |
| 9 | 0.000 | -0.62 |
| 10 | 0.000 | -0.23 |
| 11 | 0.000 | -0.67 |
| 12 | 0.000 | -0.50 |